# Sr4PSeCl2

An optimized crystal structure of Sr4PSeCl2 (PBE-GGA, Alexandria).

The structure in POSCAR format:
```
Sr4PSeCl2
1.0
-0.283 -3.214 -3.029
-3.453 -4.420 5.012
-7.599 1.047 -0.402
Se P Sr Cl
1 1 4 2
Direct
0.500 0.500 0.000
0.000 0.500 0.500
0.500 0.727 0.268
0.500 0.273 0.732
0.000 0.269 0.255
0.000 0.731 0.745
0.000 0.000 0.000
0.500 0.000 0.500
```


# Sr6P2SeCl3

An optimized crystal structure of Sr6P2SeCl3 (PBE-GGA, Alexandria).

The structure in POSCAR format:
```
Sr6P2SeCl3
1.0
-2.187 2.618 6.874
-5.186 -3.023 -4.781
3.610 -6.291 2.116
Sr Cl Se P
6 3 1 2
Direct
0.580 0.925 0.775
0.730 0.730 0.225
0.075 0.420 0.225
0.420 0.075 0.225
0.925 0.580 0.775
0.270 0.270 0.775
0.836 0.164 0.500
0.500 0.500 0.500
0.164 0.836 0.500
0.000 0.000 0.000
0.667 0.333 0.000
0.333 0.667 0.000
```


# SrP2SeCl

An optimized crystal structure of SrP2SeCl (PBE-GGA, Alexandria).

The structure in POSCAR format:
```
SrP2SeCl
1.0
4.686 0.000 0.000
0.000 4.686 0.000
0.000 0.000 6.148
Cl P Se Sr
1 2 1 1
Direct
0.000 0.000 0.500
0.000 0.500 0.000
0.500 0.000 0.000
0.000 0.000 0.000
0.500 0.500 0.500
```


# SrP2SeCl

An optimized crystal structure of SrP2SeCl (PBE-GGA, Alexandria).

The structure in POSCAR format:
```
SrP2SeCl
1.0
-5.958 1.090 0.229
-0.820 -5.136 3.112
0.666 2.675 4.589
Cl Sr P Se
1 1 2 1
Direct
0.000 0.000 0.500
0.000 0.000 0.000
0.000 0.500 0.000
0.500 0.000 0.000
0.500 0.500 0.500
```


# TaPSeCl2

An optimized crystal structure of TaPSeCl2 (PBE-GGA, Alexandria).

The structure in POSCAR format:
```
TaPSeCl2
1.0
4.665 0.000 0.000
0.000 4.665 0.000
0.000 0.000 5.183
Ta Cl Se P
1 2 1 1
Direct
0.000 0.000 0.000
0.500 0.000 0.000
0.000 0.500 0.000
0.500 0.500 0.500
0.000 0.000 0.500
```


# TaPSeCl2

An optimized crystal structure of TaPSeCl2 (PBE-GGA, Alexandria).

The structure in POSCAR format:
```
TaPSeCl2
1.0
4.607 0.000 0.000
0.000 4.607 0.000
0.000 0.000 5.638
Ta Cl P Se
1 2 1 1
Direct
0.500 0.500 0.500
0.000 0.500 0.000
0.500 0.000 0.000
0.000 0.000 0.500
0.000 0.000 0.000
```


# TaP2Se2Cl5

An optimized crystal structure of TaP2Se2Cl5 (PBE-GGA, Alexandria).

The structure in POSCAR format:
```
TaP2Se2Cl5
1.0
14.157 0.000 0.000
0.000 7.073 -0.001
0.000 5.125 27.667
Cl Se P Ta
40 16 16 8
Direct
0.394 0.799 0.527
0.297 0.148 0.744
0.764 0.564 0.488
0.133 0.134 0.126
0.242 0.748 0.204
0.482 0.713 0.681
0.106 0.799 0.027
0.612 0.425 0.575
0.388 0.575 0.425
0.018 0.713 0.181
0.190 0.017 0.913
0.758 0.252 0.796
0.976 0.101 0.225
0.024 0.899 0.775
0.258 0.748 0.704
0.633 0.866 0.374
0.367 0.134 0.626
0.797 0.852 0.756
0.690 0.983 0.587
0.742 0.252 0.296
0.888 0.425 0.075
0.894 0.201 0.973
0.810 0.983 0.087
0.310 0.017 0.413
0.264 0.436 0.012
0.236 0.436 0.512
0.703 0.852 0.256
0.867 0.866 0.874
0.848 0.127 0.503
0.518 0.287 0.319
0.112 0.575 0.925
0.203 0.148 0.244
0.982 0.287 0.819
0.652 0.127 0.003
0.736 0.564 0.988
0.152 0.873 0.497
0.476 0.899 0.275
0.524 0.101 0.725
0.348 0.873 0.997
0.606 0.201 0.473
0.428 0.147 0.118
0.971 0.534 0.303
0.772 0.379 0.670
0.072 0.147 0.618
0.947 0.567 0.571
0.529 0.534 0.803
0.553 0.567 0.071
0.572 0.853 0.882
0.728 0.379 0.170
0.928 0.853 0.382
0.272 0.621 0.830
0.471 0.466 0.197
0.447 0.433 0.929
0.029 0.466 0.697
0.053 0.433 0.429
0.228 0.621 0.330
0.575 0.527 0.881
0.159 0.667 0.401
0.925 0.527 0.381
0.425 0.473 0.119
0.659 0.333 0.099
0.076 0.912 0.357
0.075 0.473 0.619
0.924 0.088 0.643
0.909 0.248 0.705
0.341 0.667 0.901
0.841 0.333 0.599
0.591 0.248 0.205
0.576 0.088 0.143
0.091 0.752 0.295
0.409 0.752 0.795
0.424 0.912 0.857
0.289 0.737 0.470
0.112 0.957 0.202
0.711 0.263 0.530
0.612 0.043 0.298
0.388 0.957 0.702
0.789 0.263 0.030
0.888 0.043 0.798
0.211 0.737 0.970
```


# Tb4PSe2Cl

An optimized crystal structure of Tb4PSe2Cl (PBE-GGA, Alexandria).

The structure in POSCAR format:
```
Tb4PSe2Cl
1.0
-3.731 1.228 0.894
-2.458 -3.302 -5.721
-1.753 -6.601 1.746
P Tb Se Cl
1 4 2 1
Direct
0.000 0.500 0.500
0.500 0.733 0.275
0.000 0.252 0.273
0.500 0.267 0.725
0.000 0.748 0.727
0.000 0.000 0.000
0.500 0.000 0.500
0.500 0.500 0.000
```


# Tb6P2Se3Cl

An optimized crystal structure of Tb6P2Se3Cl (PBE-GGA, Alexandria).

The structure in POSCAR format:
```
Tb6P2Se3Cl
1.0
-3.222 -2.149 1.181
4.741 -4.349 5.023
-1.015 7.812 4.505
Tb Se P Cl
6 3 2 1
Direct
0.010 0.269 0.019
0.675 0.109 0.350
0.990 0.731 0.981
0.672 0.572 0.344
0.325 0.891 0.650
0.328 0.428 0.656
0.500 0.500 0.000
0.160 0.837 0.320
0.840 0.163 0.680
0.833 0.666 0.666
0.167 0.334 0.334
0.500 0.000 0.000
```


# TcPSeCl2

An optimized crystal structure of TcPSeCl2 (PBE-GGA, Alexandria).

The structure in POSCAR format:
```
TcPSeCl2
1.0
-0.854 3.299 -3.172
-3.863 -2.251 -1.300
-2.526 2.463 3.242
Se Cl Tc P
1 2 1 1
Direct
0.500 0.500 0.500
0.500 0.000 0.000
0.000 0.500 0.000
0.000 0.000 0.000
0.000 0.000 0.500
```


# TcP2SeCl

An optimized crystal structure of TcP2SeCl (PBE-GGA, Alexandria).

The structure in POSCAR format:
```
TcP2SeCl
1.0
-1.346 0.508 -4.657
-3.077 -3.749 0.480
-3.392 2.950 1.302
Se Cl Tc P
1 1 1 2
Direct
0.000 0.000 0.000
0.000 0.000 0.500
0.500 0.500 0.500
0.500 0.000 0.000
0.000 0.500 0.000
```


# TcPSeCl2

An optimized crystal structure of TcPSeCl2 (PBE-GGA, Alexandria).

The structure in POSCAR format:
```
TcPSeCl2
1.0
4.796 0.000 0.000
0.000 4.796 0.000
0.000 0.000 5.293
Cl P Se Tc
2 1 1 1
Direct
0.000 0.500 0.000
0.500 0.000 0.000
0.000 0.000 0.500
0.000 0.000 0.000
0.500 0.500 0.500
```


What are the final energy values for these records? In order: -0.1537 -0.1558 -0.1360 -0.1057 -0.1784 -0.1352 -0.1740 -0.2109 -0.2183 -0.1545 -0.1446 -0.1287 hartree per atom.
What are the ρ values for these records? In order: 3.67 3.54 3.25 2.23 5.33 5.02 2.77 7.54 7.51 4.46 4.10 3.80 g/cm³.